## BaSc2H (PBE)

Data for a relaxed BaSc2H crystal.

Properties
total magnetization = 0.0 μB per cell

```
data_BaSc2H
_chemical_formula_sum 'Ba4 Sc8 H4'
_cell_length_a 7.278
_cell_length_b 7.278
_cell_length_c 7.278
_cell_angle_alpha 90.00
_cell_angle_beta 90.00
_cell_angle_gamma 90.00
_symmetry_space_group_name_H-M 'F m -3 m'
_symmetry_Int_Tables_number 225
_symmetry_space_group_name_Hall '-F 4 2 3'
loop_
_atom_site_label
_atom_site_type_symbol
_atom_site_fract_x
_atom_site_fract_y
_atom_site_fract_z
_atom_site_occupancy
Ba1 Ba 0.000 0.000 0.000 1
Sc1 Sc 0.250 0.250 0.250 1
H1 H 0.000 0.000 0.500 1
```



## Ba3ScH (PBE)

Data for a relaxed Ba3ScH crystal.

Properties
total magnetization = 0.0 μB per cell

```
data_Ba3ScH
_chemical_formula_sum 'Ba3 Sc1 H1'
_cell_length_a 5.722
_cell_length_b 5.722
_cell_length_c 5.722
_cell_angle_alpha 90.00
_cell_angle_beta 90.00
_cell_angle_gamma 90.00
_symmetry_space_group_name_H-M 'P m -3 m'
_symmetry_Int_Tables_number 221
_symmetry_space_group_name_Hall '-P 4 2 3'
loop_
_atom_site_label
_atom_site_type_symbol
_atom_site_fract_x
_atom_site_fract_y
_atom_site_fract_z
_atom_site_occupancy
Ba1 Ba 0.000 0.000 0.500 1
Sc1 Sc 0.500 0.500 0.500 1
H1 H 0.000 0.000 0.000 1
```



Energy relative to the lowest polymorph listed for this composition, respectively: 1.009, 0.000 eV/atom.
VASP energy, respectively: -55.14, -15.06 eV/cell.